Entry from Alexandria: TaMnF2 after structural relaxation (GGA+U).

Calculated values
Energy in eV per cell: -82.8

Lattice parameters (Å, degrees): 2.8695 2.8695 26.5133 90.00 90.00 120.00
Closest atoms and distances in Å follow each position.
Space group R-3m (No. 166, hexagonal axes)
Unique sites:
Ta 0.0000 0.0000 0.0000 x3  6 F 2.28
Mn 0.0000 0.0000 0.5000 x3  2 F 2.85, 6 Mn 2.87
F 0.0000 0.0000 0.3926 x6  3 Ta 2.28